RbNi2Te3: relaxed, PBE.

It has space group Cmcm (No. 63), with a = 3.8832 Å, b = 15.7699 Å, c = 10.8264 Å, α = 90.00°, β = 90.00° and γ = 90.00°. Symmetry generates all atoms from Rb at (0.0000, 0.2471, 0.2500), Ni at (0.0000, 0.0000, 0.0000), Ni at (0.0000, 0.4500, 0.7500), Te at (0.0000, 0.0470, 0.7500) and Te at (0.0000, 0.3931, 0.5343).

The calculation puts the total energy at -0.14306 hartree per atom.


BeCo2B2: relaxed, PBE.

It has space group P4/mbm (No. 127), with a = 5.5477 Å, b = 5.5477 Å, c = 2.5251 Å, α = 90.00°, β = 90.00° and γ = 90.00°. Symmetry generates all atoms from Be at (0.0000, 0.0000, 0.0000), Co at (0.1780, 0.3220, 0.5000) and B at (0.1164, 0.6164, 0.0000).

The calculation puts the total energy at -0.24271 hartree per atom.


ZrNbNiGe: relaxed, PBE.

It has space group F-43m (No. 216), with a = 6.4466 Å, b = 6.4466 Å, c = 6.4466 Å, α = 90.00°, β = 90.00° and γ = 90.00°. Symmetry generates all atoms from Zr at (0.0000, 0.0000, 0.0000), Nb at (0.2500, 0.2500, 0.2500), Ni at (0.2500, 0.2500, 0.7500) and Ge at (0.0000, 0.0000, 0.5000).

The calculation puts the total energy at -0.26258 hartree per atom.


Hf3C2: relaxed, PBE.

It has space group Pnma (No. 62), with a = 8.5723 Å, b = 3.2294 Å, c = 10.4882 Å, α = 90.00°, β = 90.00° and γ = 90.00°. Symmetry generates all atoms from Hf at (0.0558, 0.2500, 0.1156), Hf at (0.0999, 0.7500, 0.6124), Hf at (0.2445, 0.7500, 0.3419), C at (0.0154, 0.2500, 0.7386) and C at (0.1931, 0.7500, 0.9909).

The calculation puts the total energy at -0.37694 hartree per atom.